An optimized crystal structure of NaFeAgF6, computed with PBE with a Hubbard U.

Geometry as POSCAR:
```
NaFeAgF6
1.0
4.995 0.000 0.000
0.000 4.995 0.000
0.000 0.000 10.142
Fe F Na Ag
2 12 2 2
Cartesian
0.000 0.000 3.368 Fe
2.498 2.498 8.439 Fe
4.042 0.953 4.838 F
1.368 1.368 3.408 F
1.130 3.865 8.479 F
1.582 1.582 6.985 F
3.451 3.451 9.908 F
4.080 0.915 1.914 F
3.627 3.627 3.408 F
3.865 1.130 8.479 F
0.953 4.042 4.838 F
0.915 4.080 1.914 F
3.413 3.413 6.985 F
1.545 1.545 9.908 F
0.000 0.000 6.776 Na
2.498 2.498 1.705 Na
2.498 2.498 5.032 Ag
0.000 0.000 10.103 Ag
```

Values from the calculation:
Fermi-level density of states, states/eV per atom: 0.488
Calculated density, g cm⁻³: 3.95
Space-group type: P4_2nm (102)
VASP energy, eV for the cell shown: -79.7